No. 1
BaSrCoSb2: PBEsol geometry, meta-GGA SCAN.

## Properties
- DOS at the Fermi energy (states/eV per cell) = 4.95
- energy (eV per atom) = -29.7540

Structure (POSCAR):
```
BaSrCoSb2
1.0
5.826 0.000 0.000
0.000 5.826 0.000
0.000 0.000 6.254
Ba Sr Co Sb
1 1 1 2
Direct
0.000 0.000 0.000 Ba
0.000 0.000 0.500 Sr
0.500 0.500 0.000 Co
0.000 0.500 0.500 Sb
0.500 0.000 0.500 Sb
```



No. 2
Os2RuPb: PBEsol geometry, meta-GGA SCAN.

## Properties
- DFT formation energy (meV per atom) = 745
- DOS at the Fermi energy (states/eV per cell) = 3.47

Structure (POSCAR):
```
Os2RuPb
1.0
2.802 0.000 0.000
0.000 3.719 0.000
0.000 0.000 6.308
Os Ru Pb
2 1 1
Direct
0.000 0.000 0.000 Os
0.500 0.500 0.198 Os
0.500 0.500 0.787 Ru
0.000 0.000 0.504 Pb
```



No. 3
MgCd2Pd2: PBEsol geometry, meta-GGA SCAN.

## Properties
- DFT formation energy (meV per atom) = -436
- DOS at the Fermi energy (states/eV per cell) = 4.14

Structure (POSCAR):
```
MgCd2Pd2
1.0
6.868 0.000 0.000
0.000 6.868 0.000
0.000 0.000 3.829
Mg Cd Pd
2 4 4
Direct
0.000 0.000 0.000 Mg
0.500 0.500 0.000 Mg
0.158 0.342 0.500 Cd
0.342 0.842 0.500 Cd
0.658 0.158 0.500 Cd
0.842 0.658 0.500 Cd
0.141 0.641 0.000 Pd
0.359 0.141 0.000 Pd
0.641 0.859 0.000 Pd
0.859 0.359 0.000 Pd
```



Question: Which of these has the highest DOS at the Fermi energy?
Answer: BaSrCoSb2



Question: Among the records above, which one has the lowest DOS at the Fermi energy?
Answer: Os2RuPb



Question: Which formula does entry 3 have?
Answer: MgCd2Pd2



Question: DOS at the Fermi energy of number 1 (BaSrCoSb2)?
Answer: 4.95 states/eV per cell